Here is a crystal of Pm3Gd relaxed with PBEsol from Alexandria via LeMat-Bulk. Energies are from SCAN.

Values from the calculation:
* ΔE_f: 0.02 eV/atom
* V: 127 Å³ per cell

a = 5.024 Å, b = 5.024 Å, c = 5.024 Å
α = 90.00°, β = 90.00°, γ = 90.00°
Fractional positions:
Pm: 0.000 0.000 0.500
Pm: 0.000 0.500 0.000
Pm: 0.500 0.000 0.000
Gd: 0.500 0.500 0.500

=====

Here is a crystal of PrGdZn2 relaxed with PBEsol from Alexandria via LeMat-Bulk. Energies are from SCAN.

Values from the calculation:
* ΔE_f: -0.37 eV/atom
* V: 92 Å³ per cell

a = 3.577 Å, b = 3.577 Å, c = 7.211 Å
α = 90.00°, β = 90.00°, γ = 90.00°
Fractional positions:
Pr: 0.000 0.000 0.000
Gd: 0.000 0.000 0.500
Zn: 0.500 0.500 0.265
Zn: 0.500 0.500 0.735

=====

Here is a crystal of GdPt2 relaxed with PBEsol from Alexandria via LeMat-Bulk. Energies are from SCAN.

Values from the calculation:
* ΔE_f: -1.24 eV/atom
* V: 110 Å³ per cell

a = 5.378 Å, b = 5.378 Å, c = 5.378 Å
α = 60.00°, β = 60.00°, γ = 60.00°
Fractional positions:
Gd: 0.125 0.125 0.125
Gd: 0.875 0.875 0.875
Pt: 0.000 0.500 0.500
Pt: 0.500 0.000 0.500
Pt: 0.500 0.500 0.000
Pt: 0.500 0.500 0.500

=====

Here is a crystal of GdPt relaxed with PBEsol from Alexandria via LeMat-Bulk. Energies are from SCAN.

Values from the calculation:
* ΔE_f: -1.37 eV/atom
* V: 174 Å³ per cell

a = 7.016 Å, b = 4.475 Å, c = 5.547 Å
α = 90.00°, β = 90.00°, γ = 90.00°
Fractional positions:
Gd: 0.182 0.250 0.141
Gd: 0.318 0.750 0.641
Gd: 0.682 0.250 0.359
Gd: 0.818 0.750 0.859
Pt: 0.043 0.250 0.654
Pt: 0.457 0.750 0.154
Pt: 0.543 0.250 0.846
Pt: 0.957 0.750 0.346

=====

Here is a crystal of GdSnPt relaxed with PBEsol from Alexandria via LeMat-Bulk. Energies are from SCAN.

Values from the calculation:
* ΔE_f: -1.23 eV/atom
* V: 192 Å³ per cell

a = 7.439 Å, b = 7.439 Å, c = 4.005 Å
α = 90.00°, β = 90.00°, γ = 120.00°
Fractional positions:
Gd: 0.000 0.408 0.000
Gd: 0.408 0.000 0.000
Gd: 0.592 0.592 0.000
Sn: 0.000 0.743 0.500
Sn: 0.257 0.257 0.500
Sn: 0.743 0.000 0.500
Pt: 0.000 0.000 0.000
Pt: 0.333 0.667 0.500
Pt: 0.667 0.333 0.500

=====

Here is a crystal of RbGdSe2 relaxed with PBEsol from Alexandria via LeMat-Bulk. Energies are from SCAN.

Values from the calculation:
* V: 121 Å³ per cell
* uncorrected energy: -30.89 eV per atom

a = 8.223 Å, b = 8.223 Å, c = 8.223 Å
α = 29.69°, β = 29.69°, γ = 29.69°
Fractional positions:
Rb: 0.000 0.000 0.000
Gd: 0.500 0.500 0.500
Se: 0.233 0.233 0.233
Se: 0.767 0.767 0.767

=====

Here is a crystal of GdRe2 relaxed with PBEsol from Alexandria via LeMat-Bulk. Energies are from SCAN.

Values from the calculation:
* ΔE_f: -0.17 eV/atom
* V: 220 Å³ per cell

a = 5.391 Å, b = 5.391 Å, c = 8.733 Å
α = 90.00°, β = 90.00°, γ = 120.00°
Fractional positions:
Gd: 0.333 0.667 0.063
Gd: 0.333 0.667 0.437
Gd: 0.667 0.333 0.563
Gd: 0.667 0.333 0.937
Re: 0.000 0.000 0.000
Re: 0.000 0.000 0.500
Re: 0.171 0.341 0.750
Re: 0.171 0.829 0.750
Re: 0.341 0.171 0.250
Re: 0.659 0.829 0.750
Re: 0.829 0.171 0.250
Re: 0.829 0.659 0.250

=====

Here is a crystal of GdRh relaxed with PBEsol from Alexandria via LeMat-Bulk. Energies are from SCAN.

Values from the calculation:
* ΔE_f: -0.81 eV/atom
* V: 39 Å³ per cell

a = 3.400 Å, b = 3.400 Å, c = 3.400 Å
α = 90.00°, β = 90.00°, γ = 90.00°
Fractional positions:
Gd: 0.000 0.000 0.000
Rh: 0.500 0.500 0.500

=====

Here is a crystal of GdRh2 relaxed with PBEsol from Alexandria via LeMat-Bulk. Energies are from SCAN.

Values from the calculation:
* ΔE_f: -0.77 eV/atom
* V: 103 Å³ per cell

a = 5.267 Å, b = 5.267 Å, c = 5.267 Å
α = 60.00°, β = 60.00°, γ = 60.00°
Fractional positions:
Gd: 0.125 0.125 0.125
Gd: 0.875 0.875 0.875
Rh: 0.000 0.500 0.500
Rh: 0.500 0.000 0.500
Rh: 0.500 0.500 0.000
Rh: 0.500 0.500 0.500

=====

Here is a crystal of GdRh3 relaxed with PBEsol from Alexandria via LeMat-Bulk. Energies are from SCAN.

Values from the calculation:
* ΔE_f: -0.27 eV/atom
* V: 413 Å³ per cell

a = 5.283 Å, b = 5.283 Å, c = 17.093 Å
α = 90.00°, β = 90.00°, γ = 120.00°
Fractional positions:
Gd: 0.333 0.667 0.050
Gd: 0.333 0.667 0.450
Gd: 0.333 0.667 0.750
Gd: 0.667 0.333 0.250
Gd: 0.667 0.333 0.550
Gd: 0.667 0.333 0.950
Rh: 0.000 0.000 0.000
Rh: 0.000 0.000 0.250
Rh: 0.000 0.000 0.500
Rh: 0.000 0.000 0.750
Rh: 0.165 0.331 0.621
Rh: 0.165 0.331 0.879
Rh: 0.165 0.835 0.621
Rh: 0.165 0.835 0.879
Rh: 0.331 0.165 0.121
Rh: 0.331 0.165 0.379
Rh: 0.333 0.667 0.250
Rh: 0.667 0.333 0.750
Rh: 0.669 0.835 0.621
Rh: 0.669 0.835 0.879
Rh: 0.835 0.165 0.121
Rh: 0.835 0.165 0.379
Rh: 0.835 0.669 0.121
Rh: 0.835 0.669 0.379

=====

Here is a crystal of Gd2RuRh relaxed with PBEsol from Alexandria via LeMat-Bulk. Energies are from SCAN.

Values from the calculation:
* ΔE_f: -0.55 eV/atom
* V: 77 Å³ per cell

a = 4.780 Å, b = 4.780 Å, c = 4.780 Å
α = 60.00°, β = 60.00°, γ = 60.00°
Fractional positions:
Gd: 0.250 0.250 0.250
Gd: 0.750 0.750 0.750
Ru: 0.000 0.000 0.000
Rh: 0.500 0.500 0.500

=====

Here is a crystal of GdZnRh relaxed with PBEsol from Alexandria via LeMat-Bulk. Energies are from SCAN.

Values from the calculation:
* ΔE_f: -0.74 eV/atom
* V: 220 Å³ per cell

a = 6.864 Å, b = 3.984 Å, c = 8.037 Å
α = 90.00°, β = 90.00°, γ = 90.00°
Fractional positions:
Gd: 0.039 0.250 0.185
Gd: 0.461 0.750 0.685
Gd: 0.539 0.250 0.315
Gd: 0.961 0.750 0.815
Zn: 0.135 0.250 0.563
Zn: 0.365 0.750 0.063
Zn: 0.635 0.250 0.937
Zn: 0.865 0.750 0.437
Rh: 0.244 0.750 0.376
Rh: 0.256 0.250 0.876
Rh: 0.744 0.750 0.124
Rh: 0.756 0.250 0.624